No. 1
# DyMg12Sc3

Crystalline DyMg12Sc3 at its relaxed geometry (PBE-GGA, Alexandria via LeMat-Bulk). Values from VASP.

Quantum ESPRESSO input file:
```
&SYSTEM
  ibrav = 0, nat = 16, ntyp = 3
/
ATOMIC_SPECIES
Dy 162.50 Dy.upf
Mg 24.30 Mg.upf
Sc 44.96 Sc.upf
CELL_PARAMETERS angstrom
4.520 0.000 0.000
0.000 4.520 0.000
0.000 0.000 18.449
ATOMIC_POSITIONS crystal
Dy 0.000 0.000 0.000
Mg 0.000 0.500 0.131
Mg 0.000 0.500 0.377
Mg 0.000 0.500 0.623
Mg 0.000 0.500 0.869
Mg 0.500 0.000 0.131
Mg 0.500 0.000 0.377
Mg 0.500 0.000 0.623
Mg 0.500 0.000 0.869
Mg 0.500 0.500 0.000
Mg 0.500 0.500 0.255
Mg 0.500 0.500 0.500
Mg 0.500 0.500 0.745
Sc 0.000 0.000 0.254
Sc 0.000 0.000 0.500
Sc 0.000 0.000 0.746
```

## Properties
Total moment (μB per formula unit): 0.00
SG: P4/mmm (123)
Volume (Å³/cell): 376.9
Crystal system: tetragonal
Total DFT energy (no corrections) (eV/cell): -43.46
ΔH_f (0 K) (eV/atom): -0.046


No. 2
# Tm8AgIr2

Crystalline Tm8AgIr2 at its relaxed geometry (PBE-GGA, Alexandria via LeMat-Bulk). Values from VASP.

Quantum ESPRESSO input file:
```
&SYSTEM
  ibrav = 0, nat = 11, ntyp = 3
/
ATOMIC_SPECIES
Tm 168.93 Tm.upf
Ag 107.87 Ag.upf
Ir 192.22 Ir.upf
CELL_PARAMETERS angstrom
4.263 -6.391 0.000
4.263 6.391 0.000
-1.397 0.000 5.302
ATOMIC_POSITIONS crystal
Tm 0.000 0.000 0.000
Tm 0.046 0.307 0.605
Tm 0.136 0.618 0.194
Tm 0.307 0.046 0.605
Tm 0.446 0.708 0.784
Tm 0.618 0.136 0.194
Tm 0.708 0.446 0.784
Tm 0.754 0.754 0.388
Ag 0.377 0.377 0.197
Ir 0.066 0.687 0.694
Ir 0.687 0.066 0.694
```

## Properties
Excess energy over the best structure of this formula in the dataset (kJ/mol of formula units): 50.5
Total moment (μB per formula unit): 0.00
SG: Cm (8)
Volume (Å³/cell): 288.9
Crystal system: monoclinic
Total DFT energy (no corrections) (eV/cell): -60.85
ΔH_f (0 K) (eV/atom): -0.410


- Which of these has the lowest ΔH_f (0 K)?
  Tm8AgIr2


- The lowest ΔH_f (0 K) belongs to which entry?
  Tm8AgIr2


- Which value of total moment does entry 2 give?
  0.00 μB per formula unit


- Which of these has the highest total DFT energy (no corrections)?
  DyMg12Sc3